Material: MgSnW
Method: DFT, GGA-PBE
State: relaxed Values from VASP.

Cell and atoms, written as Quantum ESPRESSO input:
```
&SYSTEM
  ibrav = 0, nat = 3, ntyp = 3
/
ATOMIC_SPECIES
Mg 24.30 Mg.upf
W 183.84 W.upf
Sn 118.71 Sn.upf
ATOMIC_POSITIONS angstrom
Mg 1.617 1.617 1.617
W 4.852 4.852 4.852
Sn 0.000 0.000 0.000
CELL_PARAMETERS angstrom
0.000 3.235 3.235
3.235 0.000 3.235
3.235 3.235 0.000
```

Properties
E_tot = -5.2229 eV per atom
symmetry = F-43m